This record from the Alexandria database describes a geometry-optimized Ce2GdZr structure. The functional is PBE.

Summary:
ΔE_f ... 252 meV per atom
E above lowest polymorph ... 56 meV per atom
Density of states at the Fermi level ... 12.64 states/eV/f.u.

POSCAR file:
```
Ce2GdZr
1.0
0.0000 3.8284 3.8284
3.8284 0.0000 3.8284
3.8284 3.8284 0.0000
Ce Gd Zr
2 1 1
Direct
0.2500 0.2500 0.2500
0.7500 0.7500 0.7500
0.0000 0.0000 0.0000
0.5000 0.5000 0.5000
```

This record from the Alexandria database describes a geometry-optimized Ce2GdZr structure. The functional is PBE.

Summary:
ΔE_f ... 195 meV per atom
E above lowest polymorph ... 0 meV per atom
Density of states at the Fermi level ... 10.85 states/eV/f.u.

POSCAR file:
```
Ce2GdZr
1.0
4.0218 0.0000 0.0000
0.0000 4.0218 0.0000
0.0000 0.0000 6.9531
Ce Gd Zr
2 1 1
Direct
0.0000 0.0000 0.2164
0.0000 0.0000 0.7836
0.5000 0.5000 0.5000
0.5000 0.5000 0.0000
```

This record from the Alexandria database describes a geometry-optimized CeGdZr structure. The functional is PBE.

Summary:
ΔE_f ... 114 meV per atom
Density of states at the Fermi level ... 5.45 states/eV/f.u.

POSCAR file:
```
CeGdZr
1.0
3.3700 0.0000 0.0000
-1.6850 2.9185 0.0000
0.0000 0.0000 8.3000
Ce Gd Zr
1 1 1
Direct
0.0000 0.0000 0.0000
0.3333 0.6667 0.6495
0.6667 0.3333 0.3179
```